Entry 1:
First-principles (PBE) data for AlGaCl2 after structural relaxation, as listed in the Alexandria database.

Summary:
DOS at the Fermi energy   0.000 states/eV per atom
Raw total energy   -3.032 eV per atom
Energy relative to the elements, uncorrected   -416 meV/atom
Space-group type   No. 122

Cell and atoms, written as POSCAR:
```
AlGaCl2
1.0
7.7453 0.0000 0.0000
0.0000 7.7453 0.0000
3.8726 3.8726 3.5528
Al Cl Ga
2 4 2
direct
0.5000 0.5000 0.0000 Al
0.2500 0.7500 0.5000 Al
0.8750 0.8628 0.7500 Cl
0.1372 0.6250 0.2500 Cl
0.6128 0.1250 0.2500 Cl
0.3750 0.3872 0.7500 Cl
0.7500 0.2500 0.5000 Ga
0.0000 0.0000 0.0000 Ga
```


Entry 2:
First-principles (PBE) data for ZnBiTe3 after structural relaxation, as listed in the Alexandria database.

Summary:
DOS at the Fermi energy   1.019 states/eV per atom
Raw total energy   -2.624 eV per atom
Energy relative to the elements, uncorrected   292 meV/atom
Space-group type   No. 221

Cell and atoms, written as POSCAR:
```
ZnBiTe3
1.0
-4.5972 1.6323 2.0854
-0.5927 -4.7060 2.3769
2.5811 1.8267 4.2601
Bi Te Zn
1 3 1
direct
0.5000 0.5000 0.5000 Bi
0.0000 0.0000 0.5000 Te
0.0000 0.5000 0.0000 Te
0.5000 0.0000 0.0000 Te
0.0000 0.0000 0.0000 Zn
```


Entry 3:
First-principles (PBE) data for Ca2Mg2Br7 after structural relaxation, as listed in the Alexandria database.

Summary:
DOS at the Fermi energy   0.274 states/eV per atom
Raw total energy   -3.234 eV per atom
Energy relative to the elements, uncorrected   -1515 meV/atom
Space-group type   No. 12

Cell and atoms, written as POSCAR:
```
Ca2Mg2Br7
1.0
7.5802 0.1520 0.2193
-0.6673 7.5476 -0.0724
-0.6673 -2.7182 7.0415
Ca Mg Br
2 2 7
direct
0.5000 0.6835 0.3165 Ca
0.5000 0.3165 0.6835 Ca
0.8917 0.2714 0.2714 Mg
0.1083 0.7286 0.7286 Mg
0.7205 0.4279 0.0496 Br
0.2469 0.4246 0.4246 Br
0.2795 0.5721 0.9504 Br
0.2795 0.9504 0.5721 Br
0.0000 0.0000 0.0000 Br
0.7205 0.0496 0.4279 Br
0.7531 0.5754 0.5754 Br
```


Entry 4:
First-principles (PBE) data for NiHgC after structural relaxation, as listed in the Alexandria database.

Summary:
DOS at the Fermi energy   0.392 states/eV per atom
Raw total energy   -4.260 eV per atom
Energy of formation from the pure elements   0.842 eV/atom
Space-group type   No. 1

Cell and atoms, written as POSCAR:
```
NiHgC
1.0
-0.5506 2.5973 1.4227
-2.6146 -1.3564 -0.6849
1.8441 -2.9283 4.4731
Hg C Ni
1 1 1
direct
0.0817 0.3806 0.3106 Hg
0.2542 0.6586 0.7568 C
0.9131 0.0577 0.8133 Ni
```


Entry 5:
First-principles (PBE) data for CaPu2O6 after structural relaxation, as listed in the Alexandria database.

Summary:
DOS at the Fermi energy   0.769 states/eV per atom
Raw total energy   -9.516 eV per atom
Energy relative to the elements, uncorrected   -2803 meV/atom
Space-group type   No. 58

Cell and atoms, written as POSCAR:
```
CaPu2O6
1.0
-0.2063 -4.3496 -2.2500
0.8070 -2.6885 5.1232
-9.5282 -0.2553 1.3670
Pu O Ca
4 12 2
direct
0.4998 0.0000 0.8193 Pu
0.5002 0.0000 0.1807 Pu
0.9998 0.5000 0.6807 Pu
0.0002 0.5000 0.3193 Pu
0.3065 0.1432 0.0001 O
0.8065 0.3568 0.4999 O
0.2371 0.1896 0.6795 O
0.2624 0.6896 0.8206 O
0.2629 0.6896 0.1795 O
0.1935 0.6432 0.5001 O
0.7624 0.8104 0.6794 O
0.7629 0.8104 0.3205 O
0.2376 0.1896 0.3206 O
0.7376 0.3104 0.1794 O
0.6935 0.8568 0.9999 O
0.7371 0.3104 0.8205 O
0.0000 0.0000 0.5000 Ca
0.5000 0.5000 0.0000 Ca
```


Entry 6:
First-principles (PBE) data for Ho5Bi2CSe after structural relaxation, as listed in the Alexandria database.

Summary:
DOS at the Fermi energy   0.659 states/eV per atom
Raw total energy   -5.594 eV per atom
Energy relative to the elements, uncorrected   -776 meV/atom
Space-group type   No. 123

Cell and atoms, written as POSCAR:
```
Ho5Bi2CSe
1.0
4.6604 0.0000 0.0000
0.0000 4.6604 0.0000
0.0000 0.0000 10.9169
Ho C Se Bi
5 1 1 2
direct
0.5000 0.0000 0.5000 Ho
0.0000 0.0000 0.2608 Ho
0.0000 0.5000 0.5000 Ho
0.5000 0.5000 0.0000 Ho
0.0000 0.0000 0.7392 Ho
0.0000 0.0000 0.5000 C
0.0000 0.0000 0.0000 Se
0.5000 0.5000 0.2850 Bi
0.5000 0.5000 0.7150 Bi
```


Entry 7:
First-principles (PBE) data for CeErPuSc after structural relaxation, as listed in the Alexandria database.

Summary:
DOS at the Fermi energy   3.684 states/eV per atom
Raw total energy   -7.554 eV per atom
Energy of formation from the pure elements   0.236 eV/atom
Space-group type   No. 216

Cell and atoms, written as POSCAR:
```
CeErPuSc
1.0
-3.0577 4.0486 -1.9259
-4.8968 -1.0544 -2.0879
-4.4729 1.5274 2.6665
Ce Pu Er Sc
1 1 1 1
direct
0.7500 0.7500 0.7500 Ce
0.2500 0.2500 0.2500 Pu
0.5000 0.5000 0.5000 Er
0.0000 0.0000 0.0000 Sc
```


Entry 8:
First-principles (PBE) data for LiVSbRh after structural relaxation, as listed in the Alexandria database.

Summary:
DOS at the Fermi energy   1.252 states/eV per atom
Raw total energy   -5.888 eV per atom
Energy relative to the elements, uncorrected   -261 meV/atom
Space-group type   No. 216

Cell and atoms, written as POSCAR:
```
LiVSbRh
1.0
-1.0000 -0.9228 4.2238
-3.8100 -2.0529 0.9805
0.0467 -4.2027 1.4240
Sb V Rh Li
1 1 1 1
direct
0.2500 0.2500 0.2500 Sb
0.7500 0.7500 0.7500 V
0.5000 0.5000 0.5000 Rh
0.0000 0.0000 0.0000 Li
```


Entry 9:
First-principles (PBE) data for Pm4Er3ThS8 after structural relaxation, as listed in the Alexandria database.

Summary:
DOS at the Fermi energy   0.543 states/eV per atom
Raw total energy   -6.542 eV per atom
Energy relative to the elements, uncorrected   -1971 meV/atom
Space-group type   No. 166

Cell and atoms, written as POSCAR:
```
Pm4Er3ThS8
1.0
-7.3100 3.0593 -0.4578
-0.9319 -3.3020 -7.1859
2.0283 -4.5230 6.2000
Pm S Th Er
4 8 1 3
direct
0.0000 0.0000 0.0000 Pm
0.0000 0.0000 0.5000 Pm
0.5000 0.0000 0.0000 Pm
0.5000 0.0000 0.5000 Pm
0.7386 0.7390 0.9888 S
0.2556 0.2667 0.5111 S
0.7498 0.2610 0.0112 S
0.2614 0.2610 0.0112 S
0.7444 0.7333 0.4889 S
0.2502 0.7390 0.9888 S
0.7498 0.2609 0.4996 S
0.2502 0.7391 0.5004 S
0.0000 0.5000 0.0000 Th
0.0000 0.5000 0.5000 Er
0.5000 0.5000 0.0000 Er
0.5000 0.5000 0.5000 Er
```


Entry 10:
First-principles (PBE) data for ErPuGeRh after structural relaxation, as listed in the Alexandria database.

Summary:
DOS at the Fermi energy   2.002 states/eV per atom
Raw total energy   -8.234 eV per atom
Energy of formation from the pure elements   -0.518 eV/atom
Space-group type   No. 216

Cell and atoms, written as POSCAR:
```
ErPuGeRh
1.0
-2.1718 -2.2216 -3.8386
-4.0285 -2.7680 0.7047
-4.3942 1.5813 -1.6056
Er Ge Rh Pu
1 1 1 1
direct
0.5000 0.5000 0.5000 Er
0.2500 0.2500 0.2500 Ge
0.7500 0.7500 0.7500 Rh
0.0000 0.0000 0.0000 Pu
```


Entry 11:
First-principles (PBE) data for TeRhSF2 after structural relaxation, as listed in the Alexandria database.

Summary:
DOS at the Fermi energy   0.935 states/eV per atom
Raw total energy   -4.252 eV per atom
Energy relative to the elements, uncorrected   -580 meV/atom
Space-group type   No. 123

Cell and atoms, written as POSCAR:
```
TeRhSF2
1.0
-1.4950 2.5086 -2.9181
-4.5372 -0.9419 1.5149
0.2157 3.1802 2.6234
S Te F Rh
1 1 2 1
direct
0.0000 0.5000 0.0000 S
0.5000 0.5000 0.5000 Te
0.0000 0.0000 0.5000 F
0.5000 0.0000 0.0000 F
0.0000 0.0000 0.0000 Rh
```


Entry 12:
First-principles (PBE) data for CdIO after structural relaxation, as listed in the Alexandria database.

Summary:
DOS at the Fermi energy   0.529 states/eV per atom
Raw total energy   -2.335 eV per atom
Energy relative to the elements, uncorrected   139 meV/atom
Space-group type   No. 71

Cell and atoms, written as POSCAR:
```
CdIO
1.0
-0.5495 4.9902 6.1592
-3.5092 1.4162 -1.4605
-0.6696 -6.9820 0.4714
O Cd I
2 2 2
direct
0.6413 0.1413 0.2826 O
0.3587 0.8587 0.7174 O
0.1712 0.6712 0.3424 Cd
0.8288 0.3288 0.6576 Cd
0.7326 0.5000 0.0000 I
0.2674 0.5000 0.0000 I
```